Material: ErTlCdSe3
Method: DFT, PBE
State: relaxed

Output
E_tot: -4.065 eV per atom
Magnetic moment: 0.00 μB/atom

abc: 12.3602 4.2484 12.7662
angles: 90.00 90.00 90.00
Space group Pnma (No. 62)
Symmetry-distinct sites (fractional):
Er 0.0324 0.2500 0.1660
Tl 0.1545 0.2500 0.5030
Cd 0.2499 0.2500 0.7993
Se 0.0339 0.7500 0.3234
Se 0.0885 0.2500 0.9345
Se 0.2398 0.7500 0.6708

Material: ErTmCd2Sn2
Method: DFT, PBE
State: relaxed

Output
E_tot: -3.620 eV per atom
Magnetic moment: 0.00 μB/atom

abc: 4.3595 4.3595 15.7761
angles: 90.00 90.00 90.00
Space group I4mm (No. 107)
Symmetry-distinct sites (fractional):
Er 0.0000 0.0000 0.0000
Tm 0.0000 0.0000 0.3264
Cd 0.0000 0.5000 0.1634
Sn 0.0000 0.0000 0.5204
Sn 0.0000 0.0000 0.8058